K2UPbO6: optimized geometry, GGA-PBE.

The volume comes out at 15.812 Å³ per atom. As for the uncorrected formation energy: -2120 meV/atom. The value obtained for the density of states at the Fermi level is 0.00 states/eV/cell. The calculation puts the calculated total energy at -6.814 eV per atom.

Cell: 8.584 8.584 8.584 Å, 90.00 90.00 90.00°
Space group Fm-3m (No. 225)
Inequivalent atoms, fractional coordinates:
K1 0.250 0.250 0.250 x8
U1 0.000 0.000 0.000 x4
Pb1 0.000 0.000 0.500 x4
O1 0.000 0.000 0.242 x24